VASP calculation (PBE-GGA) on HfScF2 after structural relaxation.

POSCAR file:
```
HfScF2
1.0
0.0000 3.1137 3.1137
3.1137 0.0000 3.1137
3.1137 3.1137 0.0000
F Sc Hf
2 1 1
Cartesian
1.5568 1.5568 1.5568 F
4.6705 4.6705 4.6705 F
0.0000 0.0000 0.0000 Sc
3.1137 3.1137 3.1137 Hf
```

Calculated values
The calculation puts the formation energy (no corrections) at -1039 meV per atom. As for the space group: No. 225.


VASP calculation (PBE-GGA) on Hf2ScF after structural relaxation.

POSCAR file:
```
Hf2ScF
1.0
7.4974 0.0000 0.0000
0.0000 7.4974 0.0000
3.7487 3.7487 2.7444
Hf F Sc
4 2 2
Cartesian
5.6230 6.3192 2.0583 Hf
4.9268 1.8743 0.6861 Hf
2.5705 5.6230 0.6861 Hf
9.3717 8.6755 2.0583 Hf
3.7487 3.7487 0.0000 F
3.7487 7.4974 1.3722 F
0.0000 0.0000 0.0000 Sc
7.4974 3.7487 1.3722 Sc
```

Calculated values
The calculation puts the formation energy (no corrections) at -584 meV per atom. As for the space group: No. 122.


Q: Which total DFT energy (no corrections) values were calculated for the entries above? A: -6.046; -7.611, in eV per atom.